Record 1
## KCuOs2 (GGA-PBE)

Data for an optimized crystal structure of KCuOs2.

abc: 2.6579 4.7720 5.3642
angles: 90.00 90.00 90.00
With the nearest neighbours (Å) after each atom.
Element x y z (fractional)
K: 0.0000 0.0000 0.0000  2 K 2.66, 4 Cu 2.73
Cu: 0.5000 0.5000 0.0000  2 Cu 2.66, 4 K 2.73
Os: 0.0000 0.5000 0.5000  6 Os 2.66-2.73
Os: 0.5000 0.0000 0.5000  6 Os 2.66-2.73

Properties
Size of the total moment = 0.000 μB/f.u.
Symmetry = Pmmm
Calculated volume = 68.04 Å³/cell
Electronic total energy = -22.941 eV/cell
Distance to the lowest polymorph of the same formula = 0.482 eV/atom


Record 2
## K2CuOs (GGA-PBE)

Data for an optimized crystal structure of K2CuOs.

abc: 5.1719 5.1719 5.1719
angles: 60.00 60.00 60.00
With the nearest neighbours (Å) after each atom.
Element x y z (fractional)
K: 0.0000 0.0000 0.0000  4 Os 3.17, 4 K 3.17
K: 0.2500 0.2500 0.2500  4 Cu 3.17, 4 K 3.17
Cu: 0.5000 0.5000 0.5000  4 K 3.17, 4 Os 3.17
Os: 0.7500 0.7500 0.7500  4 Cu 3.17, 4 K 3.17

Properties
Size of the total moment = 2.484 μB/f.u.
Symmetry = F-43m
Calculated volume = 97.82 Å³/cell
Electronic total energy = -11.827 eV/cell
Distance to the lowest polymorph of the same formula = 0.630 eV/atom


Record 3
## K2CuOs (GGA-PBE)

Data for an optimized crystal structure of K2CuOs.

abc: 2.7928 2.7928 11.0379
angles: 90.00 90.00 102.39
With the nearest neighbours (Å) after each atom.
Element x y z (fractional)
K: 0.0000 0.0000 0.2483  4 K 2.79
K: 0.0000 0.0000 0.7517  4 K 2.79
Cu: 0.5000 0.5000 0.5000  4 Cu 2.79
Os: 0.5000 0.5000 0.0000  4 Os 2.79

Properties
Size of the total moment = 0.031 μB/f.u.
Symmetry = Cmmm
Calculated volume = 84.08 Å³/cell
Electronic total energy = -12.948 eV/cell
Distance to the lowest polymorph of the same formula = 0.350 eV/atom


Record 4
## KCuOs4 (GGA-PBE)

Data for an optimized crystal structure of KCuOs4.

abc: 5.2784 5.2784 5.2784
angles: 60.00 60.00 60.00
With the nearest neighbours (Å) after each atom.
Element x y z (fractional)
K: 0.0000 0.0000 0.0000  12 Os 3.10, 4 Cu 3.23
Cu: 0.2500 0.2500 0.2500  12 Os 3.09, 4 K 3.23
Os: 0.1269 0.6244 0.6244  6 Os 2.63-2.65
Os: 0.6244 0.1269 0.6244  6 Os 2.63-2.65
Os: 0.6244 0.6244 0.1269  6 Os 2.63-2.65
Os: 0.6244 0.6244 0.6244  6 Os 2.63-2.65

Properties
Size of the total moment = 0.000 μB/f.u.
Symmetry = F-43m
Calculated volume = 103.99 Å³/cell
Electronic total energy = -42.960 eV/cell


Record 5
## K2CuOs (GGA-PBE)

Data for an optimized crystal structure of K2CuOs.

abc: 6.1180 6.1180 2.7178
angles: 90.00 90.00 122.98
With the nearest neighbours (Å) after each atom.
Element x y z (fractional)
K: 0.0000 0.5000 0.0000  4 K 2.72-2.92
K: 0.5000 0.0000 0.0000  4 K 2.72-2.92
Cu: 0.0000 0.0000 0.5000  2 Cu 2.72, 2 Os 2.92
Os: 0.5000 0.5000 0.5000  2 Os 2.72, 2 Cu 2.92

Properties
Size of the total moment = 0.000 μB/f.u.
Symmetry = Cmmm
Calculated volume = 85.34 Å³/cell
Electronic total energy = -12.769 eV/cell
Distance to the lowest polymorph of the same formula = 0.394 eV/atom


Record 6
## KCuOs2 (GGA-PBE)

Data for an optimized crystal structure of KCuOs2.

abc: 5.7486 5.7486 5.7486
angles: 142.31 142.31 54.36
With the nearest neighbours (Å) after each atom.
Element x y z (fractional)
K: 0.0000 0.0000 0.0000  4 Cu 2.63
Cu: 0.5000 0.5000 0.0000  4 K 2.63
Os: 0.2500 0.7500 0.5000  4 Os 2.63
Os: 0.7500 0.2500 0.5000  4 Os 2.63

Properties
Size of the total moment = 0.000 μB/f.u.
Symmetry = I4/mmm
Calculated volume = 70.52 Å³/cell
Electronic total energy = -21.564 eV/cell
Distance to the lowest polymorph of the same formula = 0.827 eV/atom


Record 7
## KCuOs2 (GGA-PBE)

Data for an optimized crystal structure of KCuOs2.

abc: 2.5220 4.0862 7.7311
angles: 90.00 90.00 90.00
With the nearest neighbours (Å) after each atom.
Element x y z (fractional)
K: 0.0000 0.0000 0.0000  2 K 2.52
Cu: 0.0000 0.0000 0.5000  2 Cu 2.52, 8 Os 2.70
Os: 0.5000 0.5000 0.3399  3 Os 2.48-2.52, 4 Cu 2.70
Os: 0.5000 0.5000 0.6601  3 Os 2.48-2.52, 4 Cu 2.70

Properties
Size of the total moment = 0.000 μB/f.u.
Symmetry = Pmmm
Calculated volume = 79.67 Å³/cell
Electronic total energy = -23.329 eV/cell
Distance to the lowest polymorph of the same formula = 0.385 eV/atom


Record 8
## KCuOs2 (GGA-PBE)

Data for an optimized crystal structure of KCuOs2.

abc: 5.7516 5.7516 2.5187
angles: 90.00 90.00 123.84
With the nearest neighbours (Å) after each atom.
Element x y z (fractional)
K: 0.0000 0.0000 0.0000  2 K 2.52, 2 Cu 2.71
Cu: 0.5000 0.5000 0.0000  2 Cu 2.52, 2 K 2.71
Os: 0.0000 0.5000 0.5000  4 Os 2.52-2.71
Os: 0.5000 0.0000 0.5000  4 Os 2.52-2.71

Properties
Size of the total moment = 0.000 μB/f.u.
Symmetry = Cmmm
Calculated volume = 69.20 Å³/cell
Electronic total energy = -22.297 eV/cell
Distance to the lowest polymorph of the same formula = 0.643 eV/atom